(1)
# Nb2ZnNiH | the Alexandria database | meta-GGA SCAN | single point on PBEsol structure
data_Nb2ZnNiH
_symmetry_space_group_name_H-M 'P 4/m m m'
_symmetry_Int_Tables_number 123
_symmetry_space_group_name_Hall '-P 4 2'
_cell_length_a 4.0479
_cell_length_b 4.0479
_cell_length_c 3.7458
_cell_angle_alpha 90.00
_cell_angle_beta 90.00
_cell_angle_gamma 90.00
loop_
_atom_site_label
_atom_site_type_symbol
_atom_site_fract_x
_atom_site_fract_y
_atom_site_fract_z
Nb1 Nb 0.0000 0.5000 0.0000
Zn1 Zn 0.0000 0.0000 0.5000
Ni1 Ni 0.5000 0.5000 0.5000
H1 H 0.5000 0.5000 0.0000
# magnetic moment: 0.00 Bohr magnetons per cell
# total energy: -20.049 eV per atom
# DOS at the Fermi energy: 0.593 states/eV per atom

(2)
# Er2Mo3H2Se2O17 | the Alexandria database | meta-GGA SCAN | single point on PBEsol structure
data_Er2Mo3H2Se2O17
_symmetry_space_group_name_H-M 'P 1 21/m 1'
_symmetry_Int_Tables_number 11
_symmetry_space_group_name_Hall '-P 2yb'
_cell_length_a 6.6649
_cell_length_b 7.1635
_cell_length_c 13.9991
_cell_angle_alpha 90.00
_cell_angle_beta 99.32
_cell_angle_gamma 90.00
loop_
_atom_site_label
_atom_site_type_symbol
_atom_site_fract_x
_atom_site_fract_y
_atom_site_fract_z
Er1 Er 0.1181 0.2500 0.0359
Er2 Er 0.2434 0.7500 0.3770
Mo1 Mo 0.2931 0.0040 0.6370
Mo2 Mo 0.3659 0.7500 0.8340
H1 H 0.2544 0.1406 0.8526
Se1 Se 0.2385 0.2500 0.3062
Se2 Se 0.2967 0.7500 0.1153
O1 O 0.0476 0.0748 0.6434
O2 O 0.1209 0.7500 0.8623
O3 O 0.1509 0.5718 0.0531
O4 O 0.2013 0.2500 0.8855
O5 O 0.2154 0.7500 0.2239
O6 O 0.2682 0.5694 0.5178
O7 O 0.2718 0.7500 0.6775
O8 O 0.3033 0.2500 0.1937
O9 O 0.3748 0.5030 0.7873
O10 O 0.3785 0.0588 0.3559
O11 O 0.4094 0.2500 0.6285
O12 O 0.4812 0.2500 0.0529
# magnetic moment: 0.00 Bohr magnetons per cell
# total energy: -15.900 eV per atom

(3)
# LiTl2Si | the Alexandria database | meta-GGA SCAN | single point on PBEsol structure
data_LiTl2Si
_symmetry_space_group_name_H-M 'P m m m'
_symmetry_Int_Tables_number 47
_symmetry_space_group_name_Hall '-P 2 2'
_cell_length_a 4.1121
_cell_length_b 4.5396
_cell_length_c 4.5893
_cell_angle_alpha 90.00
_cell_angle_beta 90.00
_cell_angle_gamma 90.00
loop_
_atom_site_label
_atom_site_type_symbol
_atom_site_fract_x
_atom_site_fract_y
_atom_site_fract_z
Li1 Li 0.0000 0.0000 0.0000
Tl1 Tl 0.5000 0.0000 0.5000
Tl2 Tl 0.5000 0.5000 0.0000
Si1 Si 0.0000 0.5000 0.5000
# magnetic moment: 0.00 Bohr magnetons per cell
# DOS at the Fermi energy: 0.305 states/eV per atom
# E_form (uncorrected): 0.75 eV/f.u.

(4)
# Li3VF8 | the Alexandria database | meta-GGA SCAN | single point on PBEsol structure
data_Li3VF8
_symmetry_space_group_name_H-M 'C 2 2 2'
_symmetry_Int_Tables_number 21
_symmetry_space_group_name_Hall 'C 2 2'
_cell_length_a 5.6054
_cell_length_b 8.9192
_cell_length_c 6.1176
_cell_angle_alpha 90.00
_cell_angle_beta 90.00
_cell_angle_gamma 90.00
loop_
_atom_site_label
_atom_site_type_symbol
_atom_site_fract_x
_atom_site_fract_y
_atom_site_fract_z
Li1 Li 0.0000 0.0000 0.0000
Li2 Li 0.2500 0.2500 0.8358
V1 V 0.0000 0.0000 0.5000
F1 F 0.0000 0.2003 0.0000
F2 F 0.0000 0.1999 0.5000
F3 F 0.2239 0.0146 0.7091
# magnetic moment: 0.00 Bohr magnetons per cell
# energy relative to the lowest polymorph listed for this composition: 0.005 eV/atom
# DOS at the Fermi energy: 0.000 states/eV per atom
# E_form (uncorrected): -35.10 eV/f.u.

(5)
# ZnCr2 | the Alexandria database | meta-GGA SCAN | single point on PBEsol structure
data_ZnCr2
_symmetry_space_group_name_H-M 'I 41/a m d'
_symmetry_Int_Tables_number 141
_cell_length_a 2.6065
_cell_length_b 2.6065
_cell_length_c 22.0308
_cell_angle_alpha 90.00
_cell_angle_beta 90.00
_cell_angle_gamma 90.00
loop_
_symmetry_equiv_pos_as_xyz
'x,y,z'
'-x,-y,-z'
'-y+1/4,x+3/4,z+1/4'
'y+1/4,-x+3/4,-z+1/4'
'-x+1/2,-y,z+1/2'
'x+1/2,y,-z+1/2'
'y+1/4,-x+1/4,z+3/4'
'-y+1/4,x+1/4,-z+3/4'
'x,-y,-z'
'-x,y,z'
'-y+1/4,-x+1/4,-z+3/4'
'y+1/4,x+1/4,z+3/4'
'-x+1/2,y,-z+1/2'
'x+1/2,-y,z+1/2'
'y+1/4,x+3/4,-z+1/4'
'-y+1/4,-x+3/4,z+1/4'
'x+1/2,y+1/2,z+1/2'
'-x+1/2,-y+1/2,-z+1/2'
'-y+3/4,x+1/4,z+3/4'
'y+3/4,-x+1/4,-z+3/4'
'-x,-y+1/2,z'
'x,y+1/2,-z'
'y+3/4,-x+3/4,z+1/4'
'-y+3/4,x+3/4,-z+1/4'
'x+1/2,-y+1/2,-z+1/2'
'-x+1/2,y+1/2,z+1/2'
'-y+3/4,-x+3/4,-z+1/4'
'y+3/4,x+3/4,z+1/4'
'-x,y+1/2,-z'
'x,-y+1/2,z'
'y+3/4,x+1/4,-z+3/4'
'-y+3/4,-x+1/4,z+3/4'
loop_
_atom_site_label
_atom_site_type_symbol
_atom_site_fract_x
_atom_site_fract_y
_atom_site_fract_z
Zn1 Zn 0.0000 0.2500 0.3750
Cr1 Cr 0.0000 0.2500 0.7892
# magnetic moment: 2.36 Bohr magnetons per cell
# total energy: -16.256 eV per atom
# DOS at the Fermi energy: 0.786 states/eV per atom

(6)
# Cd4SbRh | the Alexandria database | meta-GGA SCAN | single point on PBEsol structure
data_Cd4SbRh
_symmetry_space_group_name_H-M 'F -4 3 m'
_symmetry_Int_Tables_number 216
_symmetry_space_group_name_Hall 'F -4 2 3'
_cell_length_a 7.8322
_cell_length_b 7.8322
_cell_length_c 7.8322
_cell_angle_alpha 90.00
_cell_angle_beta 90.00
_cell_angle_gamma 90.00
loop_
_atom_site_label
_atom_site_type_symbol
_atom_site_fract_x
_atom_site_fract_y
_atom_site_fract_z
Cd1 Cd 0.1242 0.1242 0.3758
Sb1 Sb 0.0000 0.0000 0.0000
Rh1 Rh 0.2500 0.2500 0.7500
# magnetic moment: 0.00 Bohr magnetons per cell
# DOS at the Fermi energy: 0.133 states/eV per atom
# E_form (uncorrected): 1.39 eV/f.u.

> What is the formula in the second record?

Er2Mo3H2Se2O17